Entry 1:
Below is a geometry-optimized MnPbCl2 structure, with properties calculated at the PBE-GGA level.

The structure in POSCAR format:
```
MnPbCl2
1.0
-2.070 2.070 5.882
2.070 -2.070 5.882
2.070 2.070 -5.882
Mn Pb Cl
1 1 2
Direct
0.000 0.000 0.000 Mn
0.250 0.750 0.500 Pb
0.500 0.500 0.000 Cl
0.750 0.250 0.500 Cl
```

Calculated values
Final energy (eV/atom): -4.256
Total moment (Bohr magnetons per cell): 4.584
SG: I-4m2
Energy relative to the lowest polymorph listed for this composition (meV per atom): 547.7


Entry 2:
Below is a geometry-optimized Mn2PbCl structure, with properties calculated at the PBE-GGA level.

The structure in POSCAR format:
```
Mn2PbCl
1.0
1.704 0.984 8.080
-1.704 0.984 8.080
0.000 -1.967 8.080
Mn Pb Cl
2 1 1
Direct
0.243 0.243 0.243 Mn
0.757 0.757 0.757 Mn
0.000 0.000 0.000 Pb
0.500 0.500 0.500 Cl
```

Calculated values
Final energy (eV/atom): -5.746
Total moment (Bohr magnetons per cell): 8.246
SG: R-3m
Energy relative to the lowest polymorph listed for this composition (meV per atom): 184.8


Entry 3:
Below is a geometry-optimized MnPbCl2 structure, with properties calculated at the PBE-GGA level.

The structure in POSCAR format:
```
MnPbCl2
1.0
1.871 1.080 8.560
-1.871 1.080 8.560
0.000 -2.160 8.560
Mn Pb Cl
1 1 2
Direct
0.000 0.000 0.000 Mn
0.749 0.749 0.749 Pb
0.286 0.286 0.286 Cl
0.492 0.492 0.492 Cl
```

Calculated values
Final energy (eV/atom): -4.563
Total moment (Bohr magnetons per cell): 4.552
SG: R3m
Energy relative to the lowest polymorph listed for this composition (meV per atom): 240.9


Entry 4:
Below is a geometry-optimized Mn2PbCl structure, with properties calculated at the PBE-GGA level.

The structure in POSCAR format:
```
Mn2PbCl
1.0
3.290 0.000 0.000
0.000 3.290 0.000
0.000 0.000 7.961
Mn Pb Cl
2 1 1
Direct
0.000 0.000 0.000 Mn
0.500 0.500 0.186 Mn
0.000 0.000 0.416 Pb
0.500 0.500 0.845 Cl
```

Calculated values
Final energy (eV/atom): -5.931
Total moment (Bohr magnetons per cell): 7.577
SG: P4mm
Energy relative to the lowest polymorph listed for this composition (meV per atom): 0.0


Entry 5:
Below is a geometry-optimized Mn2PbCl structure, with properties calculated at the PBE-GGA level.

The structure in POSCAR format:
```
Mn2PbCl
1.0
3.302 0.000 0.000
0.000 4.067 0.000
0.000 0.000 6.794
Mn Pb Cl
2 1 1
Direct
0.000 0.000 0.208 Mn
0.000 0.000 0.792 Mn
0.500 0.500 0.000 Pb
0.500 0.000 0.500 Cl
```

Calculated values
Final energy (eV/atom): -5.833
Total moment (Bohr magnetons per cell): 8.204
SG: Pmmm
Energy relative to the lowest polymorph listed for this composition (meV per atom): 98.5


Entry 6:
Below is a geometry-optimized Mn3PbCl structure, with properties calculated at the PBE-GGA level.

The structure in POSCAR format:
```
Mn3PbCl
1.0
5.310 0.000 0.000
0.000 5.310 0.000
0.000 0.000 5.310
Mn Pb Cl
3 1 1
Direct
0.000 0.000 0.500 Mn
0.000 0.500 0.000 Mn
0.500 0.000 0.000 Mn
0.000 0.000 0.000 Pb
0.500 0.500 0.500 Cl
```

Calculated values
Final energy (eV/atom): -5.657
Total moment (Bohr magnetons per cell): 14.000
SG: Pm-3m
Energy relative to the lowest polymorph listed for this composition (meV per atom): 284.1